! GGA-PBE MnAg2Pt5, optimized geometry; values from VASP
! space group	No. 139
! total energy	-5.784	eV/atom
&SYSTEM
  ibrav = 0, nat = 8, ntyp = 3
/
ATOMIC_SPECIES
Pt 195.08 Pt.upf
Ag 107.87 Ag.upf
Mn 54.94 Mn.upf
ATOMIC_POSITIONS angstrom
Pt 1.0755 3.1438 5.5460
Ag 0.7538 0.7827 3.8869
Mn 0.0000 0.0000 0.0000
Pt 2.3069 0.3683 1.4506
Ag 2.6287 2.7294 3.1096
Pt 1.8788 1.9508 -0.7572
Pt 0.2813 2.3192 1.4506
Pt 3.1011 1.1929 5.5460
CELL_PARAMETERS angstrom
3.9044 0.0000 -0.7572
-0.1468 3.9017 -0.7572
-0.3752 -0.3896 8.5109


! GGA-PBE MnAgPt, optimized geometry; values from VASP
! ΔE to the lowest computed polymorph	0.06	eV/f.u.
! space group	No. 107
&SYSTEM
  ibrav = 0, nat = 3, ntyp = 3
/
ATOMIC_SPECIES
Pt 195.08 Pt.upf
Mn 54.94 Mn.upf
Ag 107.87 Ag.upf
ATOMIC_POSITIONS angstrom
Pt 3.9638 0.8906 2.1304
Mn 7.6584 1.7183 1.2582
Ag 0.6851 0.1561 2.9045
CELL_PARAMETERS angstrom
5.8266 -0.2245 0.2366
5.1726 2.6912 0.2329
0.6540 0.1491 2.9118


! GGA-PBE MnAgPt2, optimized geometry; values from VASP
! space group	No. 10
! total energy	-6.130	eV/atom
&SYSTEM
  ibrav = 0, nat = 4, ntyp = 3
/
ATOMIC_SPECIES
Pt 195.08 Pt.upf
Mn 54.94 Mn.upf
Ag 107.87 Ag.upf
ATOMIC_POSITIONS angstrom
Pt 1.3125 -1.7435 -1.7971
Mn 2.7874 -0.1941 0.0069
Ag 4.0998 -1.9376 -1.7902
Pt 0.0000 0.0000 0.0000
CELL_PARAMETERS angstrom
-0.1998 -2.8583 0.3153
2.8247 -0.6288 -3.9096
5.5748 -0.3882 0.0138


! GGA-PBE MnAgPt, optimized geometry; values from VASP
! ΔE to the lowest computed polymorph	0.88	eV/f.u.
! space group	No. 216
&SYSTEM
  ibrav = 0, nat = 3, ntyp = 3
/
ATOMIC_SPECIES
Ag 107.87 Ag.upf
Mn 54.94 Mn.upf
Pt 195.08 Pt.upf
ATOMIC_POSITIONS angstrom
Ag 4.2663 2.4632 1.7417
Mn 6.3995 3.6947 2.6126
Pt 0.0000 0.0000 0.0000
CELL_PARAMETERS angstrom
4.2663 0.0000 0.0000
2.1332 3.6947 0.0000
2.1332 1.2316 3.4834